Entry from Alexandria: a relaxed CaAc6Pm crystal (PBE-GGA).

Results
The total magnetic moment is 0.000 μB per formula unit. For the total energy, the calculation gives -3.90 eV per atom. The value obtained for the energy relative to the elements is 0.022 eV per atom. Its space group is P4/mmm (123).

Cell and atoms, written as extended XYZ:
```
8
Lattice="-4.8507 1.7296 -2.1319 -2.4212 -0.6550 4.9774 2.5808 10.4859 2.6352" Properties=species:S:1:pos:R:3 pbc="T T T"
Ac -2.3455 5.7803 2.7403
Ac 0.7099 7.4754 4.4497
Ac -3.6359 0.5373 1.4227
Ac -0.5049 8.6677 0.8950
Ac -1.7650 3.5478 -0.3917
Ac -0.5503 2.3555 3.1630
Ca 0.0000 0.0000 0.0000
Pm 1.2904 5.2429 1.3176
```